# GdYHo2, optimized geometry, DFT PBE
data_GdYHo2
_chemical_formula_sum 'Gd4 Y4 Ho8'
_symmetry_space_group_name_H-M 'F m -3 m'
_symmetry_Int_Tables_number 225
_symmetry_space_group_name_Hall '-F 4 2 3'
_cell_length_a 8.014
_cell_length_b 8.014
_cell_length_c 8.014
_cell_angle_alpha 90.00
_cell_angle_beta 90.00
_cell_angle_gamma 90.00
loop_
_atom_site_label
_atom_site_fract_x
_atom_site_fract_y
_atom_site_fract_z
Gd1 0.000 0.000 0.000
Y1 0.000 0.000 0.500
Ho1 0.250 0.250 0.250
# - N(E_F) (states/eV/cell) = 32.6
# - calculated volume (A^3/atom) = 32.17
# - energy relative to the elements (eV/atom) = 0.120
# - polymorph energy (0 for the lowest one) (eV/f.u.) = 0.39

***

# Na2PaSnTe4, optimized geometry, DFT PBE
data_Na2PaSnTe4
_chemical_formula_sum 'Na2 Pa1 Sn1 Te4'
_symmetry_space_group_name_H-M 'P 1 2/m 1'
_symmetry_Int_Tables_number 10
_cell_length_a 7.835
_cell_length_b 4.495
_cell_length_c 7.976
_cell_angle_alpha 90.00
_cell_angle_beta 108.72
_cell_angle_gamma 90.00
loop_
_symmetry_equiv_pos_as_xyz
'x,y,z'
'-x,-y,-z'
'-x,y,-z'
'x,-y,z'
loop_
_atom_site_label
_atom_site_fract_x
_atom_site_fract_y
_atom_site_fract_z
Na1 0.000 0.000 0.000
Na2 0.000 0.500 0.500
Pa1 0.500 0.000 0.500
Sn1 0.500 0.500 0.000
Te1 0.267 0.000 0.744
Te2 0.268 0.500 0.262
# - N(E_F) (states/eV/cell) = 5.9
# - calculated volume (A^3/atom) = 33.25
# - energy relative to the elements, uncorrected (kJ/mol of formula units) = -590

***

# PuFePt, optimized geometry, DFT PBE
data_PuFePt
_chemical_formula_sum 'Pu4 Fe4 Pt4'
_symmetry_space_group_name_H-M 'C 1 2/m 1'
_symmetry_Int_Tables_number 12
_cell_length_a 9.099
_cell_length_b 5.584
_cell_length_c 5.039
_cell_angle_alpha 90.00
_cell_angle_beta 123.52
_cell_angle_gamma 90.00
loop_
_symmetry_equiv_pos_as_xyz
'x,y,z'
'-x,-y,-z'
'-x,y,-z'
'x,-y,z'
'x+1/2,y+1/2,z'
'-x+1/2,-y+1/2,-z'
'-x+1/2,y+1/2,-z'
'x+1/2,-y+1/2,z'
loop_
_atom_site_label
_atom_site_fract_x
_atom_site_fract_y
_atom_site_fract_z
Pu1 0.122 0.000 0.372
Fe1 0.000 0.500 0.000
Fe2 0.000 0.500 0.500
Pt1 0.250 0.250 0.000
# - N(E_F) (states/eV/cell) = 42.1
# - calculated volume (A^3/atom) = 17.79
# - energy relative to the elements (eV/atom) = -0.342

***

# Fe2BiIr2, optimized geometry, DFT PBE
data_Fe2BiIr2
_chemical_formula_sum 'Fe4 Bi2 Ir4'
_symmetry_space_group_name_H-M 'P 4/m b m'
_symmetry_Int_Tables_number 127
_symmetry_space_group_name_Hall '-P 4 2ab'
_cell_length_a 7.437
_cell_length_b 7.437
_cell_length_c 2.797
_cell_angle_alpha 90.00
_cell_angle_beta 90.00
_cell_angle_gamma 90.00
loop_
_atom_site_label
_atom_site_fract_x
_atom_site_fract_y
_atom_site_fract_z
Fe1 0.166 0.334 0.000
Bi1 0.000 0.000 0.500
Ir1 0.126 0.626 0.500
# - N(E_F) (states/eV/cell) = 21.2
# - calculated volume (A^3/atom) = 15.47
# - energy relative to the elements (eV/atom) = 0.506
# - polymorph energy (0 for the lowest one) (eV/f.u.) = 0.00

***

# La4TlAg2Pd, optimized geometry, DFT PBE
data_La4TlAg2Pd
_chemical_formula_sum 'La12 Tl3 Ag6 Pd3'
_symmetry_space_group_name_H-M 'R -3 m'
_symmetry_Int_Tables_number 166
_symmetry_space_group_name_Hall '-R 3 2"'
_cell_length_a 5.4271
_cell_length_b 5.4271
_cell_length_c 26.2805
_cell_angle_alpha 90.00
_cell_angle_beta 90.00
_cell_angle_gamma 120.00
loop_
_atom_site_label
_atom_site_fract_x
_atom_site_fract_y
_atom_site_fract_z
La1 0.0000 0.0000 0.1158
La2 0.0000 0.0000 0.3683
Tl1 0.0000 0.0000 0.5000
Ag1 0.0000 0.0000 0.2410
Pd1 0.0000 0.0000 0.0000
# - N(E_F) (states/eV/cell) = 19.6
# - calculated volume (A^3/atom) = 27.93
# - energy relative to the elements (eV/atom) = -0.434

***

# Ga2HgSb, optimized geometry, DFT PBE
data_Ga2HgSb
_chemical_formula_sum 'Ga2 Hg1 Sb1'
_symmetry_space_group_name_H-M 'P 4/m m m'
_symmetry_Int_Tables_number 123
_symmetry_space_group_name_Hall '-P 4 2'
_cell_length_a 4.962
_cell_length_b 4.962
_cell_length_c 3.759
_cell_angle_alpha 90.00
_cell_angle_beta 90.00
_cell_angle_gamma 90.00
loop_
_atom_site_label
_atom_site_fract_x
_atom_site_fract_y
_atom_site_fract_z
Ga1 0.000 0.500 0.000
Hg1 0.000 0.000 0.500
Sb1 0.500 0.500 0.500
# - N(E_F) (states/eV/cell) = 1.6
# - calculated volume (A^3/atom) = 23.14
# - energy relative to the elements, uncorrected (kJ/mol of formula units) = 33
# - polymorph energy (0 for the lowest one) (eV/f.u.) = 0.09

***

# TbP2Pt7Au, optimized geometry, DFT PBE
data_TbP2Pt7Au
_chemical_formula_sum 'Tb2 P4 Pt14 Au2'
_symmetry_space_group_name_H-M 'I -4 m 2'
_symmetry_Int_Tables_number 119
_symmetry_space_group_name_Hall 'I -4 -2'
_cell_length_a 4.013
_cell_length_b 4.013
_cell_length_c 29.101
_cell_angle_alpha 90.00
_cell_angle_beta 90.00
_cell_angle_gamma 90.00
loop_
_atom_site_label
_atom_site_fract_x
_atom_site_fract_y
_atom_site_fract_z
Tb1 0.000 0.000 0.000
P1 0.000 0.000 0.381
Pt1 0.000 0.000 0.307
Pt2 0.000 0.000 0.500
Pt3 0.000 0.500 0.075
Pt4 0.000 0.500 0.575
Au1 0.000 0.500 0.250
# - N(E_F) (states/eV/cell) = 11.5
# - calculated volume (A^3/atom) = 21.30
# - energy relative to the elements (eV/atom) = -0.345

***

# TlTe2Ir, optimized geometry, DFT PBE
data_TlTe2Ir
_chemical_formula_sum 'Tl2 Te4 Ir2'
_symmetry_space_group_name_H-M 'P -1'
_symmetry_Int_Tables_number 2
_cell_length_a 4.062
_cell_length_b 6.769
_cell_length_c 8.797
_cell_angle_alpha 107.33
_cell_angle_beta 90.02
_cell_angle_gamma 107.42
loop_
_symmetry_equiv_pos_as_xyz
'x,y,z'
'-x,-y,-z'
loop_
_atom_site_label
_atom_site_fract_x
_atom_site_fract_y
_atom_site_fract_z
Tl1 0.077 0.151 0.310
Te1 0.326 0.653 0.367
Te2 0.359 0.719 0.988
Ir1 0.148 0.295 0.818
# - N(E_F) (states/eV/cell) = 0.5
# - calculated volume (A^3/atom) = 27.41
# - energy relative to the elements, uncorrected (kJ/mol of formula units) = -76
# - polymorph energy (0 for the lowest one) (eV/f.u.) = 0.11

***

# NaYIn2Co, optimized geometry, DFT PBE
data_NaYIn2Co
_chemical_formula_sum 'Na1 Y1 In2 Co1'
_symmetry_space_group_name_H-M 'P 4/m m m'
_symmetry_Int_Tables_number 123
_symmetry_space_group_name_Hall '-P 4 2'
_cell_length_a 5.065
_cell_length_b 5.065
_cell_length_c 4.926
_cell_angle_alpha 90.00
_cell_angle_beta 90.00
_cell_angle_gamma 90.00
loop_
_atom_site_label
_atom_site_fract_x
_atom_site_fract_y
_atom_site_fract_z
Na1 0.000 0.000 0.000
Y1 0.500 0.500 0.000
In1 0.000 0.500 0.500
Co1 0.500 0.500 0.500
# - N(E_F) (states/eV/cell) = 2.8
# - calculated volume (A^3/atom) = 25.28
# - energy relative to the elements (eV/atom) = -0.128

***

# Tm2MgSc3, optimized geometry, DFT PBE
data_Tm2MgSc3
_chemical_formula_sum 'Tm8 Mg4 Sc12'
_symmetry_space_group_name_H-M 'C 1 2/m 1'
_symmetry_Int_Tables_number 12
_cell_length_a 15.793
_cell_length_b 5.219
_cell_length_c 9.265
_cell_angle_alpha 90.00
_cell_angle_beta 124.83
_cell_angle_gamma 90.00
loop_
_symmetry_equiv_pos_as_xyz
'x,y,z'
'-x,-y,-z'
'-x,y,-z'
'x,-y,z'
'x+1/2,y+1/2,z'
'-x+1/2,-y+1/2,-z'
'-x+1/2,y+1/2,-z'
'x+1/2,-y+1/2,z'
loop_
_atom_site_label
_atom_site_fract_x
_atom_site_fract_y
_atom_site_fract_z
Tm1 0.042 0.000 0.365
Tm2 0.193 0.500 0.369
Mg1 0.118 0.500 0.635
Sc1 0.056 0.500 0.904
Sc2 0.134 0.000 0.125
Sc3 0.210 0.000 0.870
# - N(E_F) (states/eV/cell) = 41.2
# - calculated volume (A^3/atom) = 26.12
# - energy relative to the elements (eV/atom) = 0.058
# - polymorph energy (0 for the lowest one) (eV/f.u.) = 0.03

***

# Mg9Sc11Rh4, optimized geometry, DFT PBE
data_Mg9Sc11Rh4
_chemical_formula_sum 'Mg18 Sc22 Rh8'
_symmetry_space_group_name_H-M 'C m m m'
_symmetry_Int_Tables_number 65
_symmetry_space_group_name_Hall '-C 2 2'
_cell_length_a 13.913
_cell_length_b 21.097
_cell_length_c 3.467
_cell_angle_alpha 90.00
_cell_angle_beta 90.00
_cell_angle_gamma 90.00
loop_
_atom_site_label
_atom_site_fract_x
_atom_site_fract_y
_atom_site_fract_z
Mg1 0.000 0.000 0.000
Mg2 0.110 0.244 0.000
Mg3 0.144 0.427 0.000
Sc1 0.000 0.132 0.500
Sc2 0.000 0.345 0.500
Sc3 0.000 0.500 0.500
Sc4 0.195 0.000 0.500
Sc5 0.248 0.166 0.500
Rh1 0.144 0.098 0.000
# - N(E_F) (states/eV/cell) = 47.5
# - calculated volume (A^3/atom) = 21.20
# - energy relative to the elements (eV/atom) = -0.373

***

# SrAg2AsO4, optimized geometry, DFT PBE
data_SrAg2AsO4
_chemical_formula_sum 'Sr2 Ag4 As2 O8'
_symmetry_space_group_name_H-M 'I 2 2 2'
_symmetry_Int_Tables_number 23
_cell_length_a 6.248
_cell_length_b 6.391
_cell_length_c 6.596
_cell_angle_alpha 90.00
_cell_angle_beta 90.00
_cell_angle_gamma 90.00
loop_
_symmetry_equiv_pos_as_xyz
'x,y,z'
'-x,-y,z'
'x,-y,-z'
'-x,y,-z'
'x+1/2,y+1/2,z+1/2'
'-x+1/2,-y+1/2,z+1/2'
'x+1/2,-y+1/2,-z+1/2'
'-x+1/2,y+1/2,-z+1/2'
loop_
_atom_site_label
_atom_site_fract_x
_atom_site_fract_y
_atom_site_fract_z
Sr1 0.000 0.000 0.000
Ag1 0.000 0.500 0.272
As1 0.000 0.000 0.500
O1 0.159 0.154 0.336
# - N(E_F) (states/eV/cell) = 0.8
# - calculated volume (A^3/atom) = 16.46
# - energy relative to the elements, uncorrected (kJ/mol of formula units) = -904

***

# BaSi2Sn2, optimized geometry, DFT PBE
data_BaSi2Sn2
_chemical_formula_sum 'Ba2 Si4 Sn4'
_symmetry_space_group_name_H-M 'I 4/m m m'
_symmetry_Int_Tables_number 139
_symmetry_space_group_name_Hall '-I 4 2'
_cell_length_a 4.924
_cell_length_b 4.924
_cell_length_c 11.259
_cell_angle_alpha 90.00
_cell_angle_beta 90.00
_cell_angle_gamma 90.00
loop_
_atom_site_label
_atom_site_fract_x
_atom_site_fract_y
_atom_site_fract_z
Ba1 0.000 0.000 0.000
Si1 0.000 0.000 0.389
Sn1 0.000 0.500 0.250
# - N(E_F) (states/eV/cell) = 4.2
# - calculated volume (A^3/atom) = 27.30
# - energy relative to the elements, uncorrected (kJ/mol of formula units) = -52
# - polymorph energy (0 for the lowest one) (eV/f.u.) = 0.00

***

# Ho2ErPd, optimized geometry, DFT PBE
data_Ho2ErPd
_chemical_formula_sum 'Ho6 Er3 Pd3'
_symmetry_space_group_name_H-M 'R 3 m'
_symmetry_Int_Tables_number 160
_symmetry_space_group_name_Hall 'R 3 -2"'
_cell_length_a 3.6698
_cell_length_b 3.6698
_cell_length_c 28.6781
_cell_angle_alpha 90.00
_cell_angle_beta 90.00
_cell_angle_gamma 120.00
loop_
_atom_site_label
_atom_site_fract_x
_atom_site_fract_y
_atom_site_fract_z
Ho1 0.0000 0.0000 0.0000
Ho2 0.0000 0.0000 0.2002
Er1 0.0000 0.0000 0.4344
Pd1 0.0000 0.0000 0.6000
# - N(E_F) (states/eV/cell) = 14.0
# - calculated volume (A^3/atom) = 27.87
# - energy relative to the elements (eV/atom) = -0.300
# - polymorph energy (0 for the lowest one) (eV/f.u.) = 0.73

***

# CaZrGe2B, optimized geometry, DFT PBE
data_CaZrGe2B
_chemical_formula_sum 'Ca1 Zr1 Ge2 B1'
_symmetry_space_group_name_H-M 'P 4/m m m'
_symmetry_Int_Tables_number 123
_symmetry_space_group_name_Hall '-P 4 2'
_cell_length_a 5.049
_cell_length_b 5.049
_cell_length_c 4.402
_cell_angle_alpha 90.00
_cell_angle_beta 90.00
_cell_angle_gamma 90.00
loop_
_atom_site_label
_atom_site_fract_x
_atom_site_fract_y
_atom_site_fract_z
Ca1 0.000 0.000 0.000
Zr1 0.500 0.500 0.500
Ge1 0.000 0.500 0.000
B1 0.000 0.000 0.500
# - N(E_F) (states/eV/cell) = 4.5
# - calculated volume (A^3/atom) = 22.45
# - energy relative to the elements (eV/atom) = 1.365

***

# Ac8Pm6Dy, optimized geometry, DFT PBE
data_Ac8Pm6Dy
_chemical_formula_sum 'Ac8 Pm6 Dy1'
_symmetry_space_group_name_H-M 'P -3'
_symmetry_Int_Tables_number 147
_cell_length_a 10.0123
_cell_length_b 10.0123
_cell_length_c 7.2538
_cell_angle_alpha 90.00
_cell_angle_beta 90.00
_cell_angle_gamma 120.00
loop_
_symmetry_equiv_pos_as_xyz
'x,y,z'
'-x,-y,-z'
'-y,x-y,z'
'y,-x+y,-z'
'-x+y,-x,z'
'x-y,x,-z'
loop_
_atom_site_label
_atom_site_fract_x
_atom_site_fract_y
_atom_site_fract_z
Ac1 0.0458 0.3511 0.1185
Ac2 0.3333 0.6667 0.7351
Pm1 0.0419 0.6704 0.4002
Dy1 0.0000 0.0000 0.5000
# - N(E_F) (states/eV/cell) = 20.6
# - calculated volume (A^3/atom) = 41.98
# - energy relative to the elements (eV/atom) = 0.232

***

# Na3La3CrSe8, optimized geometry, DFT PBE
data_Na3La3CrSe8
_chemical_formula_sum 'Na9 La9 Cr3 Se24'
_symmetry_space_group_name_H-M 'R -3 m'
_symmetry_Int_Tables_number 166
_symmetry_space_group_name_Hall '-R 3 2"'
_cell_length_a 8.4782
_cell_length_b 8.4782
_cell_length_c 21.0938
_cell_angle_alpha 90.00
_cell_angle_beta 90.00
_cell_angle_gamma 120.00
loop_
_atom_site_label
_atom_site_fract_x
_atom_site_fract_y
_atom_site_fract_z
Na1 0.0000 0.5000 0.0000
La1 0.0000 0.5000 0.5000
Cr1 0.0000 0.0000 0.5000
Se1 0.0000 0.0000 0.2476
Se2 0.0424 0.5212 0.2379
# - N(E_F) (states/eV/cell) = 41.0
# - calculated volume (A^3/atom) = 29.18
# - energy relative to the elements, uncorrected (kJ/mol of formula units) = -2021

***

# SrAlZn2, optimized geometry, DFT PBE
data_SrAlZn2
_chemical_formula_sum 'Sr4 Al4 Zn8'
_symmetry_space_group_name_H-M 'I 41/a m d'
_symmetry_Int_Tables_number 141
_cell_length_a 5.019
_cell_length_b 5.019
_cell_length_c 17.196
_cell_angle_alpha 90.00
_cell_angle_beta 90.00
_cell_angle_gamma 90.00
loop_
_symmetry_equiv_pos_as_xyz
'x,y,z'
'-x,-y,-z'
'-y+1/4,x+3/4,z+1/4'
'y+1/4,-x+3/4,-z+1/4'
'-x+1/2,-y,z+1/2'
'x+1/2,y,-z+1/2'
'y+1/4,-x+1/4,z+3/4'
'-y+1/4,x+1/4,-z+3/4'
'x,-y,-z'
'-x,y,z'
'-y+1/4,-x+1/4,-z+3/4'
'y+1/4,x+1/4,z+3/4'
'-x+1/2,y,-z+1/2'
'x+1/2,-y,z+1/2'
'y+1/4,x+3/4,-z+1/4'
'-y+1/4,-x+3/4,z+1/4'
'x+1/2,y+1/2,z+1/2'
'-x+1/2,-y+1/2,-z+1/2'
'-y+3/4,x+1/4,z+3/4'
'y+3/4,-x+1/4,-z+3/4'
'-x,-y+1/2,z'
'x,y+1/2,-z'
'y+3/4,-x+3/4,z+1/4'
'-y+3/4,x+3/4,-z+1/4'
'x+1/2,-y+1/2,-z+1/2'
'-x+1/2,y+1/2,z+1/2'
'-y+3/4,-x+3/4,-z+1/4'
'y+3/4,x+3/4,z+1/4'
'-x,y+1/2,-z'
'x,-y+1/2,z'
'y+3/4,x+1/4,-z+3/4'
'-y+3/4,-x+1/4,z+3/4'
loop_
_atom_site_label
_atom_site_fract_x
_atom_site_fract_y
_atom_site_fract_z
Sr1 0.000 0.250 0.375
Al1 0.000 0.250 0.875
Zn1 0.000 0.000 0.000
# - N(E_F) (states/eV/cell) = 8.0
# - calculated volume (A^3/atom) = 27.07
# - energy relative to the elements (eV/atom) = -0.064